# 1
Here is a relaxed Ti2WSF crystal from Alexandria via LeMat-Bulk. Energies are from PBE with a Hubbard U.

```
Ti2WSF
1.0
3.964 0.000 0.000
0.000 5.090 0.000
0.000 0.000 3.964
Ti S W F
2 1 1 1
Cartesian
1.982 0.000 0.000 Ti
0.000 0.000 1.982 Ti
0.000 2.545 0.000 S
1.982 2.545 1.982 W
0.000 0.000 0.000 F
```

Properties
Calculated total energy, hartree per atom: -0.223
Volume, Å³/cell: 80.0
Total magnetization, μB/atom: 0.08

***

# 2
Here is a relaxed Nb3CoF crystal from Alexandria via LeMat-Bulk. Energies are from PBE with a Hubbard U.

```
Nb3CoF
1.0
-2.512 3.737 -0.921
-1.192 0.290 4.429
3.659 2.659 0.811
Nb F Co
3 1 1
Cartesian
1.830 1.330 0.405 Nb
-0.596 0.145 2.214 Nb
-1.256 1.868 -0.460 Nb
-0.022 3.343 2.159 F
0.000 0.000 0.000 Co
```

Properties
Energy relative to the lowest polymorph listed for this composition, eV/atom: 0.690
Volume, Å³/cell: 97.0
Total magnetization, μB/atom: 0.00